A plane-wave DFT calculation with meta-GGA SCAN was carried out for Zn3Rh at its PBEsol-relaxed geometry.

```
4
Lattice="-2.230 1.610 0.993 0.715 -1.494 4.029 2.452 3.587 -0.309" Properties=species:S:1:pos:R:3 pbc="T T T"
Zn 0.111 2.599 0.342
Zn -0.758 0.058 2.511
Zn 1.584 1.047 1.860
Rh 0.000 0.000 0.000
```

Summary:
- calculated formation energy (eV per formula unit) = -1.14
- density of states at the Fermi level (states/eV per cell) = 1.5

=====

A plane-wave DFT calculation with meta-GGA SCAN was carried out for ZnRh3 at its PBEsol-relaxed geometry.

```
16
Lattice="4.648 0.000 0.000 0.000 5.332 0.000 0.000 0.000 8.637" Properties=species:S:1:pos:R:3 pbc="T T T"
Rh 4.273 4.637 6.478
Rh 1.185 2.011 0.014
Rh 1.185 2.011 4.304
Rh 1.139 4.677 4.333
Rh 1.139 4.677 8.622
Rh 2.698 1.971 2.159
Rh 1.949 3.361 6.478
Rh 3.509 0.655 0.014
Rh 3.509 0.655 4.304
Rh 3.463 3.321 4.333
Rh 3.463 3.321 8.622
Rh 0.375 0.695 2.159
Zn 0.367 3.346 2.159
Zn 1.957 0.680 6.478
Zn 2.691 4.652 2.159
Zn 4.281 1.986 6.478
```

Summary:
- calculated formation energy (eV per formula unit) = -0.57
- density of states at the Fermi level (states/eV per cell) = 16.5

=====

A plane-wave DFT calculation with meta-GGA SCAN was carried out for Zn11Rh2 at its PBEsol-relaxed geometry.

```
26
Lattice="7.745 0.000 0.000 -2.582 7.302 0.000 -2.582 -3.651 6.324" Properties=species:S:1:pos:R:3 pbc="T T T"
Zn -2.028 -2.868 4.968
Zn 0.554 0.783 1.356
Zn -2.028 5.736 0.000
Zn 6.084 0.000 0.000
Zn 4.332 -0.983 1.703
Zn 2.793 0.105 4.621
Zn 0.211 3.247 2.219
Zn 2.793 3.949 2.402
Zn 0.410 4.739 0.000
Zn 2.991 1.281 2.219
Zn -2.371 -0.404 4.105
Zn -2.371 3.756 1.703
Zn 0.211 0.298 3.922
Zn 4.332 1.966 0.000
Zn -0.832 2.668 4.621
Zn 0.410 -2.370 4.105
Zn 3.327 4.705 0.000
Zn -3.327 2.353 4.075
Zn -1.836 1.298 2.249
Zn 3.327 -2.353 4.075
Zn 1.836 -1.298 2.249
Zn 1.836 2.597 0.000
Rh -0.891 -1.260 2.183
Rh 1.691 2.391 4.141
Rh -0.891 2.520 0.000
Rh 2.673 0.000 0.000
```

Summary:
- calculated formation energy (eV per formula unit) = -3.53
- density of states at the Fermi level (states/eV per cell) = 11.0

=====

| no. | volume (Å³ per atom) |
| --- | --- |
| 1 | 13.412 |
| 2 | 13.377 |
| 3 | 13.756 |